# 1
This record from Alexandria describes a geometry-optimized AcPmPr3Er structure. The functional is PBE. Values from VASP.

Values from the calculation:
- Energy: -4.439 eV/atom

Quantum ESPRESSO input file:
```
&SYSTEM
  ibrav = 0, nat = 12, ntyp = 4
/
ATOMIC_SPECIES
Ac 227.00 Ac.upf
Pm 145.00 Pm.upf
Pr 140.91 Pr.upf
Er 167.26 Er.upf
CELL_PARAMETERS angstrom
10.471 -2.969 0.000
10.471 2.969 0.000
-0.187 0.000 7.126
ATOMIC_POSITIONS angstrom
Ac 3.100 0.000 0.226
Ac 17.655 0.000 6.900
Pm 9.151 0.000 5.089
Pm 11.605 0.000 2.037
Pr 0.190 0.000 5.299
Pr 5.756 0.000 5.145
Pr 7.074 0.000 1.824
Pr 13.681 0.000 5.302
Pr 14.999 0.000 1.981
Pr 20.566 0.000 1.827
Er 2.884 0.000 3.487
Er 17.872 0.000 3.639
```



# 2
This record from Alexandria describes a geometry-optimized UMnAu structure. The functional is PBE. Values from VASP.

Values from the calculation:
- Energy: -7.997 eV/atom

Quantum ESPRESSO input file:
```
&SYSTEM
  ibrav = 0, nat = 12, ntyp = 3
/
ATOMIC_SPECIES
U 238.03 U.upf
Mn 54.94 Mn.upf
Au 196.97 Au.upf
CELL_PARAMETERS angstrom
6.386 0.000 0.000
0.000 5.308 0.000
-5.843 0.000 6.797
ATOMIC_POSITIONS angstrom
U -1.646 0.674 2.622
U -4.568 1.980 6.021
U 5.111 3.328 0.776
U 2.189 4.634 4.174
Mn -0.332 0.739 1.003
Mn -3.254 1.915 4.401
Mn 3.797 3.393 2.396
Mn 0.875 4.569 5.794
Au -0.931 3.318 4.423
Au 1.991 4.644 1.025
Au -1.448 0.664 5.772
Au 1.474 1.990 2.374
```



# 3
This record from Alexandria describes a geometry-optimized Sm7Tl2Ag2 structure. The functional is PBE. Values from VASP.

Values from the calculation:
- Energy: -3.937 eV/atom

Quantum ESPRESSO input file:
```
&SYSTEM
  ibrav = 0, nat = 11, ntyp = 3
/
ATOMIC_SPECIES
Sm 150.36 Sm.upf
Tl 204.38 Tl.upf
Ag 107.87 Ag.upf
CELL_PARAMETERS angstrom
4.113 -5.701 0.000
4.113 5.701 0.000
0.000 0.000 7.522
ATOMIC_POSITIONS angstrom
Sm 0.000 0.000 0.000
Sm 2.057 2.851 2.045
Sm 2.057 2.851 5.477
Sm 2.057 -2.851 2.045
Sm 2.057 -2.851 5.477
Sm 4.113 0.000 1.895
Sm 4.113 0.000 5.628
Tl 1.464 0.000 3.761
Tl 6.763 0.000 3.761
Ag 4.113 2.409 0.000
Ag 4.113 -2.409 0.000
```



# 4
This record from Alexandria describes a geometry-optimized AcSm3Er2 structure. The functional is PBE. Values from VASP.

Values from the calculation:
- Energy relative to the lowest polymorph listed for this composition: 0 meV/atom

Quantum ESPRESSO input file:
```
&SYSTEM
  ibrav = 0, nat = 12, ntyp = 3
/
ATOMIC_SPECIES
Ac 227.00 Ac.upf
Sm 150.36 Sm.upf
Er 167.26 Er.upf
CELL_PARAMETERS angstrom
4.615 -5.015 0.000
4.615 5.015 0.000
-1.920 0.000 8.888
ATOMIC_POSITIONS angstrom
Ac 3.175 4.356 6.666
Ac 4.135 -4.356 2.222
Sm 2.496 0.900 0.141
Sm 1.536 -0.900 4.585
Sm 3.175 0.936 6.666
Sm 4.135 -0.936 2.222
Sm 5.774 0.900 4.303
Sm 4.814 -0.900 8.747
Er 2.700 2.451 3.344
Er 5.569 2.451 1.100
Er 1.741 -2.451 7.788
Er 4.609 -2.451 5.544
```



The following size of the total moment values (in μB/f.u.) correspond, in order, to the records above: 0.0, 0.0, 0.0, 0.0.